Density functional theory data (PBE) for an optimized crystal structure of PmY7Cd4.

Cell and atoms, written as POSCAR:
```
PmY7Cd4
1.0
7.382 -2.859 0.000
7.382 2.859 0.000
-5.252 0.000 8.335
Pm Y Cd
1 7 4
direct
0.000 0.000 0.000
0.071 0.071 0.412
0.207 0.207 0.881
0.265 0.265 0.311
0.500 0.500 0.000
0.735 0.735 0.689
0.793 0.793 0.119
0.929 0.929 0.588
0.318 0.318 0.660
0.457 0.457 0.283
0.543 0.543 0.717
0.682 0.682 0.340
```

Results
Final energy, eV for the cell shown: -53.88
Total moment, μB per formula unit: 0.00
SG: C2/m
DOS at the Fermi energy, states/eV per cell: 15.24

---

Density functional theory data (PBE) for an optimized crystal structure of SmCdAgPb.

Cell and atoms, written as POSCAR:
```
SmCdAgPb
1.0
0.000 3.681 3.681
3.681 0.000 3.681
3.681 3.681 0.000
Sm Cd Ag Pb
1 1 1 1
direct
0.000 0.000 0.000
0.500 0.500 0.500
0.250 0.250 0.250
0.750 0.750 0.750
```

Results
Final energy, eV for the cell shown: -13.13
Total moment, μB per formula unit: 0.00
SG: F-43m
DOS at the Fermi energy, states/eV per cell: 1.70

---

Density functional theory data (PBE) for an optimized crystal structure of TbGdErTm.

Cell and atoms, written as POSCAR:
```
TbGdErTm
1.0
0.000 3.983 3.983
3.983 0.000 3.983
3.983 3.983 0.000
Tb Gd Er Tm
1 1 1 1
direct
0.000 0.000 0.000
0.500 0.500 0.500
0.750 0.750 0.750
0.250 0.250 0.250
```

Results
Final energy, eV for the cell shown: -27.29
Total moment, μB per formula unit: 8.11
SG: F-43m
DOS at the Fermi energy, states/eV per cell: 8.43

---

Density functional theory data (PBE) for an optimized crystal structure of YHg2F8.

Cell and atoms, written as POSCAR:
```
YHg2F8
1.0
7.068 0.000 0.000
-3.534 6.121 0.000
0.000 0.000 4.431
Y Hg F
1 2 8
direct
0.000 0.000 0.000
0.333 0.667 0.741
0.667 0.333 0.259
0.153 0.307 0.744
0.154 0.847 0.744
0.307 0.154 0.256
0.333 0.667 0.241
0.667 0.333 0.759
0.693 0.846 0.744
0.846 0.153 0.256
0.847 0.693 0.256
```

Results
Total moment, μB per formula unit: 0.00
SG: P-3
DOS at the Fermi energy, states/eV per cell: 4.42
E_form (uncorrected), eV per atom: -2.179

---

Density functional theory data (PBE) for an optimized crystal structure of Zr2InIrPt.

Cell and atoms, written as POSCAR:
```
Zr2InIrPt
1.0
5.177 0.000 0.000
0.000 5.177 0.000
0.000 0.000 4.737
Zr In Ir Pt
2 1 1 1
direct
0.000 0.500 0.000
0.500 0.000 0.000
0.000 0.000 0.000
0.500 0.500 0.500
0.000 0.000 0.500
```

Results
Final energy, eV for the cell shown: -28.15
Total moment, μB per formula unit: 0.78
SG: P4/mmm
DOS at the Fermi energy, states/eV per cell: 5.16

---

Density functional theory data (PBE) for an optimized crystal structure of K4Rb3Cl3O2.

Cell and atoms, written as POSCAR:
```
K4Rb3Cl3O2
1.0
-2.743 13.497 2.605
2.743 -13.497 2.605
2.743 13.497 -2.605
K Rb Cl O
4 3 3 2
direct
0.104 0.000 0.104
0.307 0.505 0.802
0.702 0.505 0.198
0.896 0.000 0.896
0.400 0.998 0.402
0.499 0.499 0.000
0.597 0.998 0.598
0.001 0.501 0.500
0.182 0.496 0.685
0.811 0.496 0.315
0.396 0.500 0.896
0.604 0.500 0.104
```

Results
Total moment, μB per formula unit: 0.00
SG: Imm2
E_form (uncorrected), eV per atom: -1.439

---

Density functional theory data (PBE) for an optimized crystal structure of YTaBr3.

Cell and atoms, written as POSCAR:
```
YTaBr3
1.0
5.565 0.000 0.000
0.000 5.565 0.000
0.000 0.000 5.565
Y Ta Br
1 1 3
direct
0.000 0.000 0.000
0.500 0.500 0.500
0.000 0.000 0.500
0.000 0.500 0.000
0.500 0.000 0.000
```

Results
Total moment, μB per formula unit: 4.73
SG: Pm-3m
DOS at the Fermi energy, states/eV per cell: 9.25
E_form (uncorrected), eV per atom: 0.149

---

Density functional theory data (PBE) for an optimized crystal structure of LaMg2InRh.

Cell and atoms, written as POSCAR:
```
LaMg2InRh
1.0
4.947 0.000 0.000
0.000 4.947 0.000
0.000 0.000 5.145
La Mg In Rh
1 2 1 1
direct
0.000 0.000 0.000
0.000 0.500 0.500
0.500 0.000 0.500
0.500 0.500 0.000
0.500 0.500 0.500
```

Results
Final energy, eV for the cell shown: -19.92
Total moment, μB per formula unit: 0.00
SG: P4/mmm
DOS at the Fermi energy, states/eV per cell: 4.34

---

Density functional theory data (PBE) for an optimized crystal structure of BaCdIn2Ir.

Cell and atoms, written as POSCAR:
```
BaCdIn2Ir
1.0
5.203 0.000 0.000
0.000 5.203 0.000
0.000 0.000 5.335
Ba Cd In Ir
1 1 2 1
direct
0.000 0.000 0.000
0.500 0.500 0.000
0.000 0.500 0.500
0.500 0.000 0.500
0.500 0.500 0.500
```

Results
Final energy, eV for the cell shown: -18.68
Total moment, μB per formula unit: 0.00
SG: P4/mmm
DOS at the Fermi energy, states/eV per cell: 4.09

---

Density functional theory data (PBE) for an optimized crystal structure of Sm5Te4P.

Cell and atoms, written as POSCAR:
```
Sm5Te4P
1.0
-2.165 2.165 15.900
2.165 -2.165 15.900
2.165 2.165 -15.900
Sm Te P
5 4 1
direct
0.000 0.000 0.000
0.210 0.210 0.000
0.414 0.414 0.000
0.586 0.586 0.000
0.790 0.790 0.000
0.102 0.102 0.000
0.309 0.309 0.000
0.691 0.691 0.000
0.898 0.898 0.000
0.500 0.500 0.000
```

Results
Total moment, μB per formula unit: 0.00
SG: I4/mmm
DOS at the Fermi energy, states/eV per cell: 4.39
E_form (uncorrected), eV per atom: -1.443

---

Density functional theory data (PBE) for an optimized crystal structure of CuHg3O.

Cell and atoms, written as POSCAR:
```
CuHg3O
1.0
5.007 0.000 0.000
0.000 5.007 0.000
0.000 0.000 5.007
Cu Hg O
1 3 1
direct
0.000 0.000 0.000
0.000 0.000 0.500
0.000 0.500 0.000
0.500 0.000 0.000
0.500 0.500 0.500
```

Results
Total moment, μB per formula unit: 0.00
SG: Pm-3m
DOS at the Fermi energy, states/eV per cell: 9.84
E_form (uncorrected), eV per atom: 0.588

---

Density functional theory data (PBE) for an optimized crystal structure of Cd4AgPd3.

Cell and atoms, written as POSCAR:
```
Cd4AgPd3
1.0
3.103 0.000 0.000
0.000 3.103 0.000
0.000 0.000 14.946
Cd Ag Pd
4 1 3
direct
0.000 0.000 0.122
0.000 0.000 0.365
0.000 0.000 0.635
0.000 0.000 0.878
0.500 0.500 0.500
0.500 0.500 0.000
0.500 0.500 0.244
0.500 0.500 0.756
```

Results
Final energy, eV for the cell shown: -24.61
Total moment, μB per formula unit: 0.00
SG: P4/mmm
DOS at the Fermi energy, states/eV per cell: 2.57

---

Density functional theory data (PBE) for an optimized crystal structure of Ce4BiIr.

Cell and atoms, written as POSCAR:
```
Ce4BiIr
1.0
5.844 0.000 0.000
0.000 6.655 0.000
-1.968 0.000 8.517
Ce Bi Ir
8 2 2
direct
0.151 0.250 0.046
0.203 0.750 0.366
0.342 0.532 0.769
0.342 0.968 0.769
0.658 0.032 0.231
0.658 0.468 0.231
0.797 0.250 0.634
0.849 0.750 0.954
0.225 0.250 0.426
0.775 0.750 0.574
0.321 0.750 0.072
0.679 0.250 0.928
```

Results
Final energy, eV for the cell shown: -78.93
Total moment, μB per formula unit: 3.22
SG: P2_1/m
DOS at the Fermi energy, states/eV per cell: 39.16

---

Density functional theory data (PBE) for an optimized crystal structure of Cr2Ni2Au.

Cell and atoms, written as POSCAR:
```
Cr2Ni2Au
1.0
6.993 0.000 0.000
0.000 6.993 0.000
0.000 0.000 2.598
Cr Ni Au
4 4 2
direct
0.171 0.329 0.000
0.329 0.829 0.000
0.671 0.171 0.000
0.829 0.671 0.000
0.122 0.622 0.500
0.378 0.122 0.500
0.622 0.878 0.500
0.878 0.378 0.500
0.000 0.000 0.500
0.500 0.500 0.500
```

Results
Final energy, eV for the cell shown: -65.74
Total moment, μB per formula unit: 0.97
SG: P4/mbm
DOS at the Fermi energy, states/eV per cell: 11.74

---

| no. | theoretical density (g/cm³) |
| --- | --- |
| 1 | 5.744 |
| 2 | 9.618 |
| 3 | 8.574 |
| 4 | 5.562 |
| 5 | 8.956 |
| 6 | 2.373 |
| 7 | 4.910 |
| 8 | 5.344 |
| 9 | 7.724 |
| 10 | 7.205 |
| 11 | 9.011 |
| 12 | 10.117 |
| 13 | 9.642 |
| 14 | 10.935 |